{
  "formula": "Zr2PCl",
  "functional": "PBE",
  "state": "relaxed",
  "raw_formation_energy_ev_per_atom": -0.6719,
  "sg": "R3m, No. 160",
  "lattice_angstrom": [[1.771, 1.022, 9.016], [-1.771, 1.022, 9.016], [0.000, -2.045, 9.016]],
  "species": ["Zr", "Zr", "P", "Cl"],
  "frac_coords": [[0.000, 0.000, 0.000], [0.244, 0.244, 0.244], [0.523, 0.523, 0.523], [0.729, 0.729, 0.729]]
}